First-principles (PBE-GGA) data for an optimized crystal structure of Th3Bi3H2, as listed in Alexandria.

Computed properties:
Symmetry: Cmcm
Density of states at the Fermi level (states/eV/f.u.): 4.57
VASP energy (eV per atom): -5.62
Total magnetic moment (μB per formula unit): 0.000

Structure (CIF):
```
data_Th3Bi3H2
_cell_length_a 4.246
_cell_length_b 6.234
_cell_length_c 16.316
_cell_angle_alpha 90.00
_cell_angle_beta 90.00
_cell_angle_gamma 109.91
_symmetry_space_group_name_H-M 'P 1'
_symmetry_Int_Tables_number 1
loop_
_symmetry_equiv_pos_as_xyz
'x,y,z'
loop_
_atom_site_label
_atom_site_type_symbol
_atom_site_fract_x
_atom_site_fract_y
_atom_site_fract_z
Th1 Th 0.353 0.707 0.944
Th2 Th 0.353 0.707 0.556
Th3 Th 0.353 0.707 0.250
Th4 Th 0.647 0.293 0.444
Th5 Th 0.647 0.293 0.056
Th6 Th 0.647 0.293 0.750
H1 H 0.231 0.463 0.441
H2 H 0.231 0.463 0.059
H3 H 0.769 0.537 0.941
H4 H 0.769 0.537 0.559
Bi1 Bi 0.932 0.863 0.397
Bi2 Bi 0.068 0.137 0.897
Bi3 Bi 0.068 0.137 0.603
Bi4 Bi 0.360 0.721 0.750
Bi5 Bi 0.932 0.863 0.103
Bi6 Bi 0.640 0.279 0.250
```